Record 1
This record from Alexandria describes an optimized crystal structure of SrMo2W. The functional is PBE-GGA.

## Properties
**Excess energy over the best structure of this formula in the dataset**: 361.0 meV/atom
**Formation energy**: 1.0641 eV per atom
**Spin magnetization**: 0.000 μB/atom

Unit cell a=10.642 b=2.697 c=5.801 alpha=90.00 beta=102.65 gamma=90.00
Space group Cm (No. 8)
Symmetry-distinct sites (fractional):
1 Sr 0.000 0.000 0.000 x2
2 Mo 0.012 0.500 0.501 x2
3 Mo 0.229 0.000 0.725 x2
4 W 0.281 0.500 0.331 x2

=====

Record 2
This record from Alexandria describes an optimized crystal structure of Tl2InMo. The functional is PBE-GGA.

## Properties
**Excess energy over the best structure of this formula in the dataset**: 146.4 meV/atom
**Formation energy**: 0.5941 eV per atom
**Spin magnetization**: 0.073 μB/atom

Unit cell a=3.099 b=3.099 c=9.801 alpha=90.00 beta=90.00 gamma=90.00
Space group P4/mmm (No. 123)
Symmetry-distinct sites (fractional):
1 Tl 0.000 0.000 0.219 x2
2 In 0.500 0.500 0.500 x1
3 Mo 0.500 0.500 0.000 x1

=====

Record 3
This record from Alexandria describes an optimized crystal structure of LaNd7Dy12. The functional is PBE-GGA.

## Properties
**Excess energy over the best structure of this formula in the dataset**: 390.3 meV/atom
**Formation energy**: 0.6164 eV per atom
**Spin magnetization**: 0.000 μB/atom

Unit cell a=11.378 b=11.378 c=11.378 alpha=90.00 beta=90.00 gamma=90.00
Space group Im-3 (No. 204)
Symmetry-distinct sites (fractional):
1 La 0.000 0.000 0.000 x2
2 Nd 0.000 0.000 0.500 x6
3 Nd 0.250 0.250 0.250 x8
4 Dy 0.000 0.253 0.252 x24

=====

Record 4
This record from Alexandria describes an optimized crystal structure of KSbSe2Br. The functional is PBE-GGA.

## Properties
**Excess energy over the best structure of this formula in the dataset**: 1192.5 meV/atom
**Energy relative to the elements, uncorrected**: 658 meV per atom
**Spin magnetization**: 0.203 μB/atom

Unit cell a=5.843 b=5.843 c=5.632 alpha=90.00 beta=90.00 gamma=90.00
Space group P4/mmm (No. 123)
Symmetry-distinct sites (fractional):
1 K 0.000 0.000 0.000 x1
2 Sb 0.500 0.500 0.500 x1
3 Se 0.000 0.500 0.000 x2
4 Br 0.000 0.000 0.500 x1

=====

Record 5
This record from Alexandria describes an optimized crystal structure of RbAcCdBr6. The functional is PBE-GGA.

## Properties
**Energy relative to the elements, uncorrected**: -1573 meV per atom
**Spin magnetization**: 0.000 μB/atom

Unit cell a=7.6265 b=7.6265 c=15.1275 alpha=90.00 beta=90.00 gamma=120.00
Space group P-31c (No. 163)
Symmetry-distinct sites (fractional):
1 Rb 0.0000 0.0000 0.0000 x2
2 Ac 0.3333 0.6667 0.2500 x2
3 Cd 0.3333 0.6667 0.7500 x2
4 Br 0.0220 0.3811 0.6388 x12

=====

Record 6
This record from Alexandria describes an optimized crystal structure of RbZn2InNi. The functional is PBE-GGA.

## Properties
**Formation energy**: 0.0116 eV per atom
**Spin magnetization**: 0.000 μB/atom

Unit cell a=4.921 b=4.921 c=4.969 alpha=90.00 beta=90.00 gamma=90.00
Space group P4/mmm (No. 123)
Symmetry-distinct sites (fractional):
1 Rb 0.000 0.000 0.000 x1
2 Zn 0.000 0.500 0.500 x2
3 In 0.500 0.500 0.000 x1
4 Ni 0.500 0.500 0.500 x1

=====

Record 7
This record from Alexandria describes an optimized crystal structure of PmPrDyTm. The functional is PBE-GGA.

## Properties
**Formation energy**: 0.1062 eV per atom
**Spin magnetization**: 0.000 μB/atom

Unit cell a=12.461 b=5.894 c=3.779 alpha=90.00 beta=107.09 gamma=90.00
Space group Cm (No. 8)
Symmetry-distinct sites (fractional):
1 Pm 0.000 0.000 0.000 x2
2 Pr 0.267 0.000 0.831 x2
3 Dy 0.022 0.500 0.535 x2
4 Tm 0.258 0.500 0.293 x2

=====

Record 8
This record from Alexandria describes an optimized crystal structure of SrDySc. The functional is PBE-GGA.

## Properties
**Excess energy over the best structure of this formula in the dataset**: 179.4 meV/atom
**Formation energy**: 0.3775 eV per atom
**Spin magnetization**: 0.086 μB/atom

Unit cell a=4.329 b=4.329 c=11.664 alpha=90.00 beta=90.00 gamma=90.00
Space group P4/nmm (No. 129, origin choice 2)
Symmetry-distinct sites (fractional):
1 Sr 0.250 0.250 0.112 x2
2 Dy 0.250 0.250 0.720 x2
3 Sc 0.250 0.750 0.500 x2

=====

Record 9
This record from Alexandria describes an optimized crystal structure of MnCu2Pt. The functional is PBE-GGA.

## Properties
**Formation energy**: -0.0193 eV per atom
**Spin magnetization**: 0.914 μB/atom

Unit cell a=2.7168 b=2.7168 c=25.5088 alpha=90.00 beta=90.00 gamma=120.00
Space group R3m (No. 160, hexagonal axes)
Symmetry-distinct sites (fractional):
1 Mn 0.0000 0.0000 0.0000 x3
2 Cu 0.0000 0.0000 0.2523 x3
3 Cu 0.0000 0.0000 0.5067 x3
4 Pt 0.0000 0.0000 0.7532 x3

=====

Record 10
This record from Alexandria describes an optimized crystal structure of SmTmCuIr. The functional is PBE-GGA.

## Properties
**Excess energy over the best structure of this formula in the dataset**: 0.0 meV/atom
**Formation energy**: -0.5610 eV per atom
**Spin magnetization**: 0.000 μB/atom

Unit cell a=4.314 b=3.854 c=10.486 alpha=90.00 beta=90.00 gamma=90.00
Space group Amm2 (No. 38)
Symmetry-distinct sites (fractional):
1 Sm 0.000 0.000 0.000 x2
2 Tm 0.500 0.000 0.721 x2
3 Cu 0.500 0.000 0.429 x2
4 Ir 0.000 0.000 0.279 x2

=====

Record 11
This record from Alexandria describes an optimized crystal structure of FeIr2. The functional is PBE-GGA.

## Properties
**Formation energy**: 0.4730 eV per atom
**Spin magnetization**: 1.531 μB/atom

Unit cell a=7.254 b=7.254 c=7.254 alpha=90.00 beta=90.00 gamma=90.00
Space group Fd-3m (No. 227, origin choice 2)
Symmetry-distinct sites (fractional):
1 Fe 0.125 0.125 0.125 x8
2 Ir 0.000 0.000 0.500 x16

=====

Record 12
This record from Alexandria describes an optimized crystal structure of SrSb2Pt5. The functional is PBE-GGA.

## Properties
**Energy relative to the elements, uncorrected**: -484 meV per atom
**Spin magnetization**: 0.000 μB/atom

Unit cell a=4.190 b=7.301 c=10.761 alpha=90.00 beta=90.00 gamma=90.00
Space group Immm (No. 71)
Symmetry-distinct sites (fractional):
1 Sr 0.000 0.000 0.000 x2
2 Sb 0.000 0.500 0.246 x4
3 Pt 0.000 0.194 0.368 x8
4 Pt 0.000 0.500 0.000 x2

=====

Record 13
This record from Alexandria describes an optimized crystal structure of NbFe2HRh. The functional is PBE-GGA.

## Properties
**Excess energy over the best structure of this formula in the dataset**: 0.0 meV/atom
**Spin magnetization**: 0.548 μB/atom

Unit cell a=3.822 b=3.822 c=3.838 alpha=90.00 beta=90.00 gamma=90.00
Space group P4/mmm (No. 123)
Symmetry-distinct sites (fractional):
1 Nb 0.000 0.000 0.000 x1
2 Fe 0.000 0.500 0.500 x2
3 H 0.500 0.500 0.500 x1
4 Rh 0.500 0.500 0.000 x1

=====

Record 14
This record from Alexandria describes an optimized crystal structure of Ga2AgW. The functional is PBE-GGA.

## Properties
**Excess energy over the best structure of this formula in the dataset**: 318.9 meV/atom
**Formation energy**: 0.4424 eV per atom
**Spin magnetization**: 0.000 μB/atom

Unit cell a=6.364 b=6.364 c=6.364 alpha=90.00 beta=90.00 gamma=90.00
Space group Fm-3m (No. 225)
Symmetry-distinct sites (fractional):
1 Ga 0.250 0.250 0.250 x8
2 Ag 0.000 0.000 0.000 x4
3 W 0.000 0.000 0.500 x4

=====

Record 15
This record from Alexandria describes an optimized crystal structure of TmMgCu. The functional is PBE-GGA.

## Properties
**Formation energy**: -0.0501 eV per atom
**Spin magnetization**: 0.000 μB/atom

Unit cell a=4.6680 b=4.6680 c=3.3271 alpha=90.00 beta=90.00 gamma=120.00
Space group P3m1 (No. 156)
Symmetry-distinct sites (fractional):
1 Tm 0.0000 0.0000 0.0000 x1
2 Mg 0.3333 0.6667 0.4996 x1
3 Cu 0.6667 0.3333 0.5015 x1

=====

Record 16
This record from Alexandria describes an optimized crystal structure of InTcP. The functional is PBE-GGA.

## Properties
**Excess energy over the best structure of this formula in the dataset**: 198.3 meV/atom
**Formation energy**: 0.0102 eV per atom
**Spin magnetization**: 0.000 μB/atom

Unit cell a=4.0383 b=4.0383 c=3.7166 alpha=90.00 beta=90.00 gamma=120.00
Space group P-6m2 (No. 187)
Symmetry-distinct sites (fractional):
1 In 0.0000 0.0000 0.0000 x1
2 Tc 0.6667 0.3333 0.5000 x1
3 P 0.3333 0.6667 0.5000 x1

=====

Record 17
This record from Alexandria describes an optimized crystal structure of Sc3Al4Ga2. The functional is PBE-GGA.

## Properties
**Formation energy**: -0.5050 eV per atom
**Spin magnetization**: 0.000 μB/atom

Unit cell a=9.993 b=4.438 c=8.295 alpha=90.00 beta=117.50 gamma=90.00
Space group C2/m (No. 12)
Symmetry-distinct sites (fractional):
1 Sc 0.000 0.000 0.000 x2
2 Sc 0.168 0.500 0.665 x4
3 Al 0.049 0.000 0.382 x4
4 Al 0.227 0.500 0.061 x4
5 Ga 0.112 0.500 0.280 x4

=====

Record 18
This record from Alexandria describes an optimized crystal structure of Li2YTl2. The functional is PBE-GGA.

## Properties
**Excess energy over the best structure of this formula in the dataset**: 0.0 meV/atom
**Formation energy**: -0.2356 eV per atom
**Spin magnetization**: 0.037 μB/atom

Unit cell a=8.218 b=8.218 c=3.284 alpha=90.00 beta=90.00 gamma=90.00
Space group P4/mbm (No. 127)
Symmetry-distinct sites (fractional):
1 Li 0.117 0.383 0.000 x4
2 Y 0.000 0.000 0.000 x2
3 Tl 0.180 0.680 0.500 x4

=====

Record 19
This record from Alexandria describes an optimized crystal structure of CaIn. The functional is PBE-GGA.

## Properties
**Formation energy**: -0.0952 eV per atom
**Spin magnetization**: 0.000 μB/atom

Unit cell a=6.477 b=6.477 c=6.477 alpha=90.00 beta=90.00 gamma=90.00
Space group Fm-3m (No. 225)
Symmetry-distinct sites (fractional):
1 Ca 0.000 0.000 0.000 x4
2 In 0.000 0.000 0.500 x4

=====

Record 20
This record from Alexandria describes an optimized crystal structure of Pm4In5Pt2. The functional is PBE-GGA.

## Properties
**Formation energy**: -0.7096 eV per atom
**Spin magnetization**: 0.000 μB/atom

Unit cell a=7.821 b=3.749 c=9.873 alpha=90.00 beta=94.26 gamma=90.00
Space group P2/m (No. 10)
Symmetry-distinct sites (fractional):
1 Pm 0.175 0.000 0.358 x2
2 Pm 0.227 0.000 0.941 x2
3 In 0.179 0.500 0.652 x2
4 In 0.452 0.500 0.182 x2
5 In 0.500 0.500 0.500 x1
6 Pt 0.072 0.500 0.139 x2

=====

Record 21
This record from Alexandria describes an optimized crystal structure of CoW2. The functional is PBE-GGA.

## Properties
**Excess energy over the best structure of this formula in the dataset**: 898.0 meV/atom
**Formation energy**: 0.9056 eV per atom
**Spin magnetization**: 0.308 μB/atom

Unit cell a=4.189 b=4.189 c=2.757 alpha=90.00 beta=90.00 gamma=90.00
Space group P4/mmm (No. 123)
Symmetry-distinct sites (fractional):
1 Co 0.000 0.000 0.000 x1
2 W 0.000 0.500 0.500 x2

=====

Record 22
This record from Alexandria describes an optimized crystal structure of ZrCu4W. The functional is PBE-GGA.

## Properties
**Formation energy**: 0.1577 eV per atom
**Spin magnetization**: 0.263 μB/atom

Unit cell a=6.977 b=6.977 c=6.977 alpha=90.00 beta=90.00 gamma=90.00
Space group F-43m (No. 216)
Symmetry-distinct sites (fractional):
1 Zr 0.000 0.000 0.000 x4
2 Cu 0.124 0.124 0.624 x16
3 W 0.250 0.250 0.250 x4

=====

Record 23
This record from Alexandria describes an optimized crystal structure of La4AlZn. The functional is PBE-GGA.

## Properties
**Excess energy over the best structure of this formula in the dataset**: 559.3 meV/atom
**Formation energy**: 0.3517 eV per atom
**Spin magnetization**: 0.001 μB/atom

Unit cell a=9.106 b=9.106 c=9.106 alpha=90.00 beta=90.00 gamma=90.00
Space group F-43m (No. 216)
Symmetry-distinct sites (fractional):
1 La 0.123 0.123 0.377 x16
2 Al 0.250 0.250 0.750 x4
3 Zn 0.000 0.000 0.000 x4

=====

Record 24
This record from Alexandria describes an optimized crystal structure of Nb2CoHPt. The functional is PBE-GGA.

## Properties
**Excess energy over the best structure of this formula in the dataset**: 115.4 meV/atom
**Spin magnetization**: 0.052 μB/atom

Unit cell a=4.019 b=4.019 c=3.996 alpha=90.00 beta=90.00 gamma=90.00
Space group P4/mmm (No. 123)
Symmetry-distinct sites (fractional):
1 Nb 0.000 0.500 0.000 x2
2 Co 0.000 0.000 0.500 x1
3 H 0.500 0.500 0.000 x1
4 Pt 0.500 0.500 0.500 x1

=====

Record 25
This record from Alexandria describes an optimized crystal structure of TaSbTe2. The functional is PBE-GGA.

## Properties
**Energy relative to the elements, uncorrected**: 65 meV per atom
**Spin magnetization**: 0.000 μB/atom

Unit cell a=3.617 b=3.617 c=7.827 alpha=90.00 beta=90.00 gamma=90.00
Space group P4mm (No. 99)
Symmetry-distinct sites (fractional):
1 Ta 0.000 0.000 0.000 x1
2 Sb 0.500 0.500 0.818 x1
3 Te 0.000 0.000 0.598 x1
4 Te 0.500 0.500 0.214 x1

=====

no.,VASP energy (eV per atom),N(E_F) (states/eV/cell)
1,-8.01,7.2
2,-3.98,2.6
3,-4.06,58.9
4,-2.11,6.0
5,-3.35,0.0
6,-2.40,1.6
7,-4.54,13.8
8,-3.83,7.4
9,-5.87,5.2
10,-6.10,6.2
11,-8.26,29.3
12,-5.50,13.5
13,-7.68,3.6
14,-5.02,12.1
15,-3.44,2.3
16,-6.16,1.5
17,-4.95,8.5
18,-3.24,5.6
19,-2.47,6.4
20,-4.78,6.6
21,-10.10,3.9
22,-6.16,24.9
23,-3.77,35.1
24,-7.54,4.1
25,-5.50,1.5